Below is a relaxed structure of Mg3MnCl8, with properties calculated at the PBE level.

Output
V: 25.65 Å³ per atom
Uncorrected formation energy: -1.665 eV per atom
Space group: C2/m
Final energy: -4.06 eV per atom

a = 7.360 Å, b = 7.360 Å, c = 7.861 Å
α = 118.47°, β = 118.47°, γ = 59.97°
Element x y z (fractional)
Mg1 0.000 0.000 0.000
Mg2 0.000 0.500 0.000
Mg3 0.500 0.000 0.000
Mn1 0.500 0.500 0.000
Cl1 0.236 0.739 0.210
Cl2 0.237 0.237 0.209
Cl3 0.260 0.260 0.790
Cl4 0.261 0.764 0.790
Cl5 0.739 0.236 0.210
Cl6 0.740 0.740 0.210
Cl7 0.763 0.763 0.791
Cl8 0.764 0.261 0.790